1.
First-principles (PBE) data for YHo2Te after structural relaxation, as listed in the Alexandria database.

## Properties
ΔE to the lowest computed polymorph: 0.1211 eV per atom
Formation energy from raw total energies: -0.53 eV/atom

```
YHo2Te
1.0
3.8736 0.0000 0.0000
1.9368 3.3546 0.0000
1.9368 1.1182 9.7456
Y Ho Te
1 2 1
Cartesian
3.8736 2.2364 4.8801 Y
1.9368 1.1182 7.6339 Ho
1.9368 1.1182 2.1043 Ho
3.8736 2.2364 0.0002 Te
```

2.
First-principles (PBE) data for NbCoSn3 after structural relaxation, as listed in the Alexandria database.

## Properties
ΔE to the lowest computed polymorph: 0.2782 eV per atom
Energy of formation: 0.9885 eV per atom

```
NbCoSn3
1.0
5.3547 0.0000 0.0000
0.0000 5.3547 0.0000
0.0000 0.0000 5.3547
Nb Co Sn
1 1 3
Cartesian
0.0000 0.0000 0.0000 Nb
2.6774 2.6774 2.6774 Co
0.0000 2.6774 0.0000 Sn
0.0000 0.0000 2.6774 Sn
2.6774 0.0000 0.0000 Sn
```

3.
First-principles (PBE) data for MgTl2Cd after structural relaxation, as listed in the Alexandria database.

## Properties
ΔE to the lowest computed polymorph: 0.0000 eV per atom
Energy of formation: -0.0060 eV per atom

```
MgTl2Cd
1.0
3.3824 0.2235 0.0000
-0.2062 3.3835 0.0000
0.0000 0.0000 9.2293
Tl Mg Cd
2 1 1
Cartesian
0.0000 0.0000 8.9705 Tl
1.5881 1.8035 2.4753 Tl
1.5881 1.8035 6.7755 Mg
0.0000 0.0000 4.8519 Cd
```

4.
First-principles (PBE) data for CuRe3 after structural relaxation, as listed in the Alexandria database.

## Properties
Energy of formation: 0.2599 eV per atom

```
CuRe3
1.0
-1.8265 3.7760 -2.1778
-0.7138 -0.5390 -3.7526
-2.5937 -2.7156 0.8834
Cu Re
1 3
Cartesian
0.0000 0.0000 0.0000 Cu
-1.7401 1.0744 -1.8062 Re
-1.6537 -1.6273 -1.4346 Re
-3.3938 -0.5529 -3.2408 Re
```

How do the records compare in electronic total energy? In the order shown, they have -5.223, -4.848, -1.817, -10.100 eV/atom.